A plane-wave DFT calculation with GGA-PBE was carried out for an optimized crystal structure of TmLuMnZn.

The structure in CIF format:
```
data_TmLuMnZn
_chemical_formula_sum 'Tm1 Lu1 Mn1 Zn1'
_symmetry_space_group_name_H-M 'P 1'
_symmetry_Int_Tables_number 1
_symmetry_space_group_name_Hall 'P 1'
_cell_length_a 4.918
_cell_length_b 4.918
_cell_length_c 4.918
_cell_angle_alpha 60.00
_cell_angle_beta 60.00
_cell_angle_gamma 60.00
loop_
_atom_site_label
_atom_site_type_symbol
_atom_site_fract_x
_atom_site_fract_y
_atom_site_fract_z
Mn1 Mn 0.500 0.500 0.500
Lu1 Lu 0.750 0.750 0.750
Zn1 Zn 0.000 0.000 0.000
Tm1 Tm 0.250 0.250 0.250
```

Summary:
DOS(E_F) ... 5.10 states/eV per cell
Spin magnetization ... 2.795 μB/f.u.
Formation enthalpy at 0 K ... -0.0622 eV/atom
VASP energy ... -4.921 eV per atom
V ... 21.03 Å³ per atom